VASP calculation (PBE-GGA) on crystalline NaTmCoSe3 at its relaxed geometry.

Lattice parameters (Å, degrees): 8.608 8.608 8.188 102.84 102.84 27.22
Element x y z (fractional)
Na (0.139, 0.139, 0.073)
Na (0.861, 0.861, 0.927)
Tm (0.168, 0.168, 0.596)
Tm (0.832, 0.832, 0.404)
Co (0.497, 0.497, 0.283)
Co (0.503, 0.503, 0.717)
Se (0.000, 0.000, 0.500)
Se (0.341, 0.341, 0.179)
Se (0.341, 0.341, 0.650)
Se (0.500, 0.500, 0.000)
Se (0.659, 0.659, 0.350)
Se (0.659, 0.659, 0.821)

Computed properties:
Magnetization (μB/atom): 0.3338
SG: C2/m
Energy above the most stable polymorph in this dataset (kJ/mol of formula units): 87